Compound: BaLi2NiO4
Source: Alexandria
Functional: GGA+U
Structure: optimized geometry

E: -5.015 eV per atom
calculated volume: 106.1 Å³ per cell

abc: 5.263 5.263 5.263
angles: 117.92 117.92 93.64
Sites, in units of the cell vectors:
Ba (0.000, 0.000, 0.000)
Li (0.250, 0.750, 0.500)
Li (0.750, 0.250, 0.500)
Ni (0.500, 0.500, 0.000)
O (0.158, 0.533, 0.000)
O (0.467, 0.467, 0.624)
O (0.533, 0.158, 0.000)
O (0.842, 0.842, 0.376)

=====

Compound: Ba2LiNi2O6
Source: Alexandria
Functional: GGA+U
Structure: optimized geometry

E: -5.147 eV per atom
calculated volume: 146.4 Å³ per cell

abc: 5.702 5.702 5.198
angles: 90.00 90.00 120.00
Sites, in units of the cell vectors:
Ba (0.000, 0.000, 0.000)
Ba (0.333, 0.667, 0.534)
Li (0.333, 0.667, 0.033)
Ni (0.667, 0.333, 0.332)
Ni (0.667, 0.333, 0.829)
O (0.371, 0.185, 0.599)
O (0.514, 0.028, 0.070)
O (0.514, 0.486, 0.070)
O (0.815, 0.185, 0.599)
O (0.815, 0.629, 0.599)
O (0.972, 0.486, 0.070)

=====

Compound: Ba2LiNi2O4
Source: Alexandria
Functional: GGA+U
Structure: optimized geometry

E: -4.978 eV per atom
calculated volume: 145.8 Å³ per cell

abc: 5.735 5.735 5.425
angles: 106.12 106.12 59.56
Sites, in units of the cell vectors:
Ba (0.184, 0.184, 0.159)
Ba (0.816, 0.816, 0.841)
Li (0.000, 0.000, 0.500)
Ni (0.500, 0.500, 0.000)
Ni (0.500, 0.500, 0.500)
O (0.201, 0.672, 0.237)
O (0.328, 0.799, 0.763)
O (0.672, 0.201, 0.237)
O (0.799, 0.328, 0.763)

=====

> What is the E in the third record?

-4.978 eV per atom

=====

Repeat the first record exactly.
Compound: BaLi2NiO4
Source: Alexandria
Functional: GGA+U
Structure: optimized geometry

E: -5.015 eV per atom
calculated volume: 106.1 Å³ per cell

abc: 5.263 5.263 5.263
angles: 117.92 117.92 93.64
Sites, in units of the cell vectors:
Ba (0.000, 0.000, 0.000)
Li (0.250, 0.750, 0.500)
Li (0.750, 0.250, 0.500)
Ni (0.500, 0.500, 0.000)
O (0.158, 0.533, 0.000)
O (0.467, 0.467, 0.624)
O (0.533, 0.158, 0.000)
O (0.842, 0.842, 0.376)